This record from the Alexandria database describes a relaxed NiMoW2 crystal. The functional is PBE.

As for the polymorph energy (0 for the lowest one): 90 meV per atom. The density of states at the Fermi level comes out at 1.102 states/eV/atom. For the energy relative to the elements, the calculation gives 0.150 eV per atom. The calculation puts the calculated volume at 14.8 Å³/atom.

It has space group P4/mmm (No. 123), with a = 3.9404 Å, b = 3.9404 Å, c = 3.8167 Å, α = 90.00°, β = 90.00° and γ = 90.00°. The asymmetric unit holds Ni at (0.0000, 0.0000, 0.0000), Mo at (0.5000, 0.5000, 0.0000) and W at (0.0000, 0.5000, 0.5000).